A | PBE-GGA Sc6SnPb, relaxed; space-group type = P4/mmm (123); ρ = 5.31 g cm⁻³
1.0
4.532 0.000 0.000
0.000 4.532 0.000
0.000 0.000 9.069
Sc Sn Pb
6 1 1
direct
0.000 0.000 0.000
0.000 0.000 0.500
0.000 0.500 0.246
0.000 0.500 0.754
0.500 0.000 0.246
0.500 0.000 0.754
0.500 0.500 0.000
0.500 0.500 0.500


B | PBE-GGA Sc6SnPb, relaxed; space-group type = Pm-3 (200); ρ = 5.32 g cm⁻³
1.0
5.708 0.000 0.000
0.000 5.708 0.000
0.000 0.000 5.708
Sc Sn Pb
6 1 1
direct
0.000 0.249 0.500
0.000 0.751 0.500
0.249 0.500 0.000
0.500 0.000 0.249
0.500 0.000 0.751
0.751 0.500 0.000
0.000 0.000 0.000
0.500 0.500 0.500


So which one wins? Going from most stable to least: A, B.


A | PBE-GGA ScSnPb, relaxed; space-group type = P3m1 (156); ρ = 7.77 g cm⁻³
1.0
5.263 0.000 0.000
-2.632 4.558 0.000
0.000 0.000 3.305
Sc Sn Pb
1 1 1
direct
0.000 0.000 0.000
0.333 0.667 0.398
0.667 0.333 0.578


B | PBE-GGA ScSnPb, relaxed; space-group type = Immm (71); ρ = 7.44 g cm⁻³
1.0
-1.624 2.863 8.900
1.624 -2.863 8.900
1.624 2.863 -8.900
Sc Sn Pb
2 2 2
direct
0.169 0.169 0.000
0.831 0.831 0.000
0.336 0.336 0.000
0.664 0.664 0.000
0.249 0.000 0.249
0.751 0.000 0.751


So which one wins? Going from most stable to least: A, B.


A | PBE-GGA SrSc2Pb2, relaxed; space-group type = P4/mbm (127); ρ = 6.91 g cm⁻³
1.0
8.940 0.000 0.000
0.000 8.940 0.000
0.000 0.000 3.560
Sr Sc Pb
2 4 4
direct
0.000 0.000 0.000
0.500 0.500 0.000
0.132 0.368 0.500
0.368 0.868 0.500
0.632 0.132 0.500
0.868 0.632 0.500
0.162 0.662 0.000
0.338 0.162 0.000
0.662 0.838 0.000
0.838 0.338 0.000


B | PBE-GGA SrSc2Pb2, relaxed; space-group type = P4/mbm (127); ρ = 7.09 g cm⁻³
1.0
8.955 0.000 0.000
0.000 8.955 0.000
0.000 0.000 3.458
Sr Sc Pb
2 4 4
direct
0.000 0.000 0.000
0.500 0.500 0.000
0.120 0.380 0.000
0.380 0.880 0.000
0.620 0.120 0.000
0.880 0.620 0.000
0.174 0.674 0.500
0.326 0.174 0.500
0.674 0.826 0.500
0.826 0.326 0.500


C | PBE-GGA SrSc2Pb2, relaxed; space-group type = I4/mmm (139); ρ = 6.34 g cm⁻³
1.0
-2.413 2.413 6.652
2.413 -2.413 6.652
2.413 2.413 -6.652
Sr Sc Pb
1 2 2
direct
0.000 0.000 0.000
0.250 0.750 0.500
0.750 0.250 0.500
0.381 0.381 0.000
0.619 0.619 0.000


So which one wins? Going from most stable to least: C, A, B.


A | PBE-GGA SrSc3Pb, relaxed; space-group type = Pm-3m (221); ρ = 4.07 g cm⁻³
1.0
5.598 0.000 0.000
0.000 5.598 0.000
0.000 0.000 5.598
Sr Sc Pb
1 3 1
direct
0.000 0.000 0.000
0.000 0.500 0.500
0.500 0.000 0.500
0.500 0.500 0.000
0.500 0.500 0.500


B | PBE-GGA SrSc3Pb, relaxed; space-group type = Pm-3m (221); ρ = 4.84 g cm⁻³
1.0
5.284 0.000 0.000
0.000 5.284 0.000
0.000 0.000 5.284
Sr Sc Pb
1 3 1
direct
0.000 0.000 0.000
0.000 0.000 0.500
0.000 0.500 0.000
0.500 0.000 0.000
0.500 0.500 0.500


So which one wins? Going from most stable to least: A, B.


A | PBE-GGA ScTaPb2, relaxed; space-group type = P4/mmm (123); ρ = 11.68 g cm⁻³
1.0
4.676 0.000 0.000
0.000 4.676 0.000
0.000 0.000 4.163
Sc Ta Pb
1 1 2
direct
0.000 0.000 0.000
0.500 0.500 0.000
0.000 0.500 0.500
0.500 0.000 0.500


B | PBE-GGA ScTaPb2, relaxed; space-group type = Cmmm (65); ρ = 11.47 g cm⁻³
1.0
2.015 -2.611 0.000
2.015 2.611 0.000
0.000 0.000 8.804
Sc Ta Pb
1 1 2
direct
0.000 0.000 0.000
0.000 0.000 0.500
0.500 0.500 0.256
0.500 0.500 0.744


C | PBE-GGA ScTaPb2, relaxed; space-group type = I4/mmm (139); ρ = 11.73 g cm⁻³
1.0
-2.320 2.320 4.212
2.320 -2.320 4.212
2.320 2.320 -4.212
Sc Ta Pb
1 1 2
direct
0.000 0.000 0.000
0.500 0.500 0.000
0.250 0.750 0.500
0.750 0.250 0.500


D | PBE-GGA ScTaPb2, relaxed; space-group type = I-42d (122); ρ = 10.73 g cm⁻³
1.0
-3.961 3.961 3.158
3.961 -3.961 3.158
3.961 3.961 -3.158
Sc Ta Pb
2 2 4
direct
0.000 0.000 0.000
0.750 0.250 0.500
0.250 0.750 0.500
0.500 0.500 0.000
0.133 0.625 0.008
0.375 0.383 0.508
0.617 0.125 0.992
0.875 0.867 0.492


So which one wins? Going from most stable to least: B, C, A, D.


A | PBE-GGA ScTaPb2, relaxed; space-group type = R-3m (166); ρ = 11.43 g cm⁻³
1.0
1.644 0.949 9.932
-1.644 0.949 9.932
0.000 -1.899 9.932
Sc Ta Pb
1 1 2
direct
0.000 0.000 0.000
0.500 0.500 0.500
0.247 0.247 0.247
0.753 0.753 0.753


B | PBE-GGA ScTaPb2, relaxed; space-group type = C2/m (12); ρ = 11.39 g cm⁻³
1.0
3.268 -4.970 0.000
3.268 4.970 0.000
-1.507 0.000 2.874
Sc Ta Pb
1 1 2
direct
0.000 0.000 0.000
0.500 0.500 0.000
0.000 0.500 0.500
0.500 0.000 0.500


So which one wins? Going from most stable to least: B, A.


A | PBE-GGA ScTa3Pb, relaxed; space-group type = Pm-3m (221); ρ = 9.80 g cm⁻³
1.0
5.126 0.000 0.000
0.000 5.126 0.000
0.000 0.000 5.126
Sc Ta Pb
1 3 1
direct
0.000 0.000 0.000
0.000 0.500 0.500
0.500 0.000 0.500
0.500 0.500 0.000
0.500 0.500 0.500


B | PBE-GGA ScTa3Pb, relaxed; space-group type = Pm-3m (221); ρ = 11.74 g cm⁻³
1.0
4.827 0.000 0.000
0.000 4.827 0.000
0.000 0.000 4.827
Sc Ta Pb
1 3 1
direct
0.000 0.000 0.000
0.000 0.000 0.500
0.000 0.500 0.000
0.500 0.000 0.000
0.500 0.500 0.500


So which one wins? Going from most stable to least: B, A.


A | PBE-GGA ScTcPb, relaxed; space-group type = Fmm2 (42); ρ = 9.28 g cm⁻³
1.0
0.000 2.594 6.790
1.779 0.000 6.790
1.779 2.594 0.000
Sc Tc Pb
1 1 1
direct
0.000 0.000 0.000
0.643 0.643 0.357
0.306 0.306 0.694


B | PBE-GGA ScTcPb, relaxed; space-group type = P3m1 (156); ρ = 9.71 g cm⁻³
1.0
4.702 0.000 0.000
-2.351 4.072 0.000
0.000 0.000 3.127
Sc Tc Pb
1 1 1
direct
0.000 0.000 0.000
0.667 0.333 0.288
0.333 0.667 0.552


C | PBE-GGA ScTcPb, relaxed; space-group type = F-43m (216); ρ = 8.47 g cm⁻³
1.0
0.000 3.250 3.250
3.250 0.000 3.250
3.250 3.250 0.000
Sc Tc Pb
1 1 1
direct
0.000 0.000 0.000
0.750 0.750 0.750
0.500 0.500 0.500


D | PBE-GGA ScTcPb, relaxed; space-group type = I4mm (107); ρ = 9.96 g cm⁻³
1.0
-1.761 1.761 4.704
1.761 -1.761 4.704
1.761 1.761 -4.704
Sc Tc Pb
1 1 1
direct
0.000 0.000 0.000
0.647 0.647 0.000
0.313 0.313 0.000


So which one wins? Going from most stable to least: D, B, A, C.


A | PBE-GGA ScTcPb3, relaxed; space-group type = Pm-3m (221); ρ = 8.51 g cm⁻³
1.0
5.303 0.000 0.000
0.000 5.303 0.000
0.000 0.000 5.303
Sc Tc Pb
1 1 3
direct
0.000 0.000 0.000
0.500 0.500 0.500
0.000 0.500 0.500
0.500 0.000 0.500
0.500 0.500 0.000


B | PBE-GGA ScTcPb3, relaxed; space-group type = Pm-3m (221); ρ = 7.46 g cm⁻³
1.0
5.541 0.000 0.000
0.000 5.541 0.000
0.000 0.000 5.541
Sc Tc Pb
1 1 3
direct
0.000 0.000 0.000
0.500 0.500 0.500
0.000 0.000 0.500
0.000 0.500 0.000
0.500 0.000 0.000


So which one wins? Going from most stable to least: A, B.


A | PBE-GGA ScTc3Pb, relaxed; space-group type = Pm-3m (221); ρ = 7.45 g cm⁻³
1.0
4.956 0.000 0.000
0.000 4.956 0.000
0.000 0.000 4.956
Sc Tc Pb
1 3 1
direct
0.000 0.000 0.000
0.000 0.500 0.500
0.500 0.000 0.500
0.500 0.500 0.000
0.500 0.500 0.500


B | PBE-GGA ScTc3Pb, relaxed; space-group type = Pm-3m (221); ρ = 8.71 g cm⁻³
1.0
4.705 0.000 0.000
0.000 4.705 0.000
0.000 0.000 4.705
Sc Tc Pb
1 3 1
direct
0.000 0.000 0.000
0.000 0.000 0.500
0.000 0.500 0.000
0.500 0.000 0.000
0.500 0.500 0.500


So which one wins? Going from most stable to least: B, A.


A | PBE-GGA Sc2TePb, relaxed; space-group type = Immm (71); ρ = 7.07 g cm⁻³
1.0
-2.197 2.869 3.958
2.197 -2.869 3.958
2.197 2.869 -3.958
Sc Te Pb
2 1 1
direct
0.246 0.246 0.000
0.754 0.754 0.000
0.000 0.500 0.500
0.500 0.000 0.500


B | PBE-GGA Sc2TePb, relaxed; space-group type = Cmmm (65); ρ = 7.24 g cm⁻³
1.0
3.339 -3.936 0.000
3.339 3.936 0.000
0.000 0.000 3.707
Sc Te Pb
2 1 1
direct
0.000 0.500 0.000
0.500 0.000 0.000
0.000 0.000 0.500
0.500 0.500 0.500


C | PBE-GGA Sc2TePb, relaxed; space-group type = C2/m (12); ρ = 6.71 g cm⁻³
1.0
3.623 -2.094 0.000
3.623 2.094 0.000
-2.428 0.000 6.929
Sc Te Pb
2 1 1
direct
0.248 0.248 0.243
0.752 0.752 0.757
0.000 0.000 0.500
0.500 0.500 0.000


So which one wins? Going from most stable to least: C, A, B.